DFT (PBE+U) results for an optimized crystal structure of NaFePO2.

Structure (extended XYZ):
```
5
Lattice="3.895 0.000 0.000 0.000 3.895 0.000 0.000 0.000 4.810" Properties=species:S:1:pos:R:3 pbc="T T T"
Na 0.000 0.000 0.000
Fe 1.947 1.947 2.405
P 1.947 1.947 0.000
O 0.000 1.947 2.405
O 1.947 0.000 2.405
```

Calculated values
- Fermi-level density of states: 0.46 states/eV/atom
- VASP energy: -4.717 eV/atom
- Size of the total moment: 2.730 Bohr magnetons per cell
- Space-group type: P4/mmm, No. 123